DFT (PBE-GGA) results for an optimized crystal structure of ReS.

a = 2.9771 Å, b = 2.9771 Å, c = 7.1649 Å
α = 90.00°, β = 90.00°, γ = 90.00°
Closest atoms and distances in Å follow each position.
Space group I-4m2 (No. 119)
Inequivalent atoms, fractional coordinates:
Re1 0.0000 0.0000 0.0000 x2  4 S 2.33
S1 0.0000 0.5000 0.7500 x2  4 Re 2.33

- V: 15.88 A^3/atom
- Formation energy without anion corrections: 0.200 eV per atom
- Total magnetic moment: 0.0 μB/f.u.



DFT (PBE-GGA) results for an optimized crystal structure of PS.

a = 3.1068 Å, b = 4.7050 Å, c = 6.4835 Å
α = 90.00°, β = 90.00°, γ = 90.00°
Closest atoms and distances in Å follow each position.
Space group Amm2 (No. 38)
Inequivalent atoms, fractional coordinates:
P1 0.0000 0.0000 0.0000 x2  2 S 2.12
S1 0.5000 0.0000 0.7782 x2  2 P 2.12

- V: 23.69 A^3/atom
- Formation energy without anion corrections: 0.218 eV per atom
- Total magnetic moment: 0.0 μB/f.u.



DFT (PBE-GGA) results for an optimized crystal structure of CsMgTlTe2.

a = 19.6515 Å, b = 4.7654 Å, c = 10.3968 Å
α = 90.00°, β = 119.28°, γ = 90.00°
Closest atoms and distances in Å follow each position.
Space group C2/m (No. 12)
Inequivalent atoms, fractional coordinates:
Cs1 0.2294 0.0000 0.2297 x4  5 Te 3.85-3.91, 2 Tl 4.19
Mg1 0.0629 0.0000 0.4302 x4  4 Te 2.85-2.87
Tl1 0.0605 0.5000 0.8928 x4  3 Te 3.18-3.25
Te1 0.1044 0.0000 0.7341 x4  2 Mg 2.85-2.87
Te2 0.1172 0.5000 0.3584 x4  2 Mg 2.85, 1 Tl 3.18

- V: 42.46 A^3/atom
- Formation energy without anion corrections: -0.800 eV per atom
- Total magnetic moment: 0.0 μB/f.u.



DFT (PBE-GGA) results for an optimized crystal structure of LiEr2Be.

a = 3.3804 Å, b = 3.3804 Å, c = 31.2199 Å
α = 90.00°, β = 90.00°, γ = 120.00°
Closest atoms and distances in Å follow each position.
Space group R-3m (No. 166, hexagonal axes)
Inequivalent atoms, fractional coordinates:
Li1 0.0000 0.0000 0.0000 x3  2 Er 3.24, 6 Li 3.38
Er1 0.0000 0.0000 0.1039 x6  3 Be 2.77
Be1 0.0000 0.0000 0.5000 x3  6 Er 2.77

- V: 25.75 A^3/atom
- Total magnetic moment: 0.0 μB/f.u.
- Calculated total energy: -3.36 eV/atom



DFT (PBE-GGA) results for an optimized crystal structure of Li3GaPb2.

a = 4.7885 Å, b = 3.6090 Å, c = 7.4931 Å
α = 90.00°, β = 108.34°, γ = 90.00°
Closest atoms and distances in Å follow each position.
Space group P2/m (No. 10)
Inequivalent atoms, fractional coordinates:
Li1 0.0000 0.0000 0.0000 x1  4 Pb 2.95, 4 Ga 3.00, 4 Li 3.26-3.28
Li2 0.3433 0.0000 0.6865 x2  2 Ga 2.87, 6 Pb 3.00-3.13
Ga1 0.5000 0.5000 0.0000 x1  8 Li 2.87-3.00
Pb1 0.1638 0.5000 0.3274 x2  8 Li 2.95-3.13

- V: 20.49 A^3/atom
- Total magnetic moment: 0.0 μB/f.u.
- Calculated total energy: -2.93 eV/atom



DFT (PBE-GGA) results for an optimized crystal structure of CsLiMg3.

a = 5.5252 Å, b = 5.5252 Å, c = 5.5252 Å
α = 90.00°, β = 90.00°, γ = 90.00°
Closest atoms and distances in Å follow each position.
Space group Pm-3m (No. 221)
Inequivalent atoms, fractional coordinates:
Cs1 0.0000 0.0000 0.0000 x1  12 Mg 3.91
Li1 0.5000 0.5000 0.5000 x1  6 Mg 2.76
Mg1 0.0000 0.5000 0.5000 x3  2 Li 2.76

- V: 33.73 A^3/atom
- Total magnetic moment: 0.0 μB/f.u.
- Calculated total energy: -1.18 eV/atom



DFT (PBE-GGA) results for an optimized crystal structure of AlCoGePd2.

a = 4.6361 Å, b = 4.6361 Å, c = 4.3720 Å
α = 90.00°, β = 90.00°, γ = 90.00°
Closest atoms and distances in Å follow each position.
Space group P4/mmm (No. 123)
Inequivalent atoms, fractional coordinates:
Al1 0.0000 0.0000 0.0000 x1  2 Co 2.19
Co1 0.0000 0.0000 0.5000 x1  2 Al 2.19, 4 Pd 2.32
Ge1 0.5000 0.5000 0.0000 x1  8 Pd 3.19, 4 Al 3.28
Pd1 0.0000 0.5000 0.5000 x2  2 Co 2.32

- V: 18.79 A^3/atom
- Total magnetic moment: 1.9 μB/f.u.
- Calculated total energy: -4.63 eV/atom



DFT (PBE-GGA) results for an optimized crystal structure of YZr2VSi.

a = 5.0736 Å, b = 5.0736 Å, c = 5.0762 Å
α = 90.00°, β = 90.00°, γ = 90.00°
Closest atoms and distances in Å follow each position.
Space group P4/mmm (No. 123)
Inequivalent atoms, fractional coordinates:
Y1 0.0000 0.0000 0.0000 x1  4 Zr 2.54, 2 Si 2.54
Zr1 0.0000 0.5000 0.0000 x2  2 Y 2.54
V1 0.5000 0.5000 0.5000 x1  4 Si 3.59, 8 Zr 3.59
Si1 0.0000 0.0000 0.5000 x1  2 Y 2.54

- V: 26.13 A^3/atom
- Formation energy without anion corrections: 1.779 eV per atom
- Total magnetic moment: 0.1 μB/f.u.



DFT (PBE-GGA) results for an optimized crystal structure of CdTcIr3.

a = 4.7256 Å, b = 4.7256 Å, c = 4.7256 Å
α = 90.00°, β = 90.00°, γ = 90.00°
Closest atoms and distances in Å follow each position.
Space group Pm-3m (No. 221)
Inequivalent atoms, fractional coordinates:
Cd1 0.0000 0.0000 0.0000 x1  12 Ir 3.34
Tc1 0.5000 0.5000 0.5000 x1  6 Ir 2.36
Ir1 0.0000 0.5000 0.5000 x3  2 Tc 2.36

- V: 21.11 A^3/atom
- Total magnetic moment: 0.0 μB/f.u.
- Calculated total energy: -6.11 eV/atom



DFT (PBE-GGA) results for an optimized crystal structure of Dy8InHg2.

a = 8.8000 Å, b = 14.5665 Å, c = 5.4470 Å
α = 90.00°, β = 110.68°, γ = 90.00°
Closest atoms and distances in Å follow each position.
Space group C2/m (No. 12)
Inequivalent atoms, fractional coordinates:
Dy1 0.0000 0.2237 0.0000 x4  2 Hg 2.98, 1 In 3.26
Dy2 0.1029 0.5000 0.8023 x4  4 Dy 3.15-3.49, 2 Hg 3.24, 1 In 3.27
Dy3 0.2079 0.1151 0.6054 x8  2 Hg 3.05-3.27, 1 Dy 3.35
In1 0.0000 0.0000 0.0000 x2  8 Dy 3.26-3.57
Hg1 0.0000 0.3060 0.5000 x4  8 Dy 2.98-3.27

- V: 29.69 A^3/atom
- Total magnetic moment: 0.0 μB/f.u.
- Calculated total energy: -3.80 eV/atom



DFT (PBE-GGA) results for an optimized crystal structure of HAu2Cl6.

a = 13.2279 Å, b = 13.2917 Å, c = 7.3592 Å
α = 90.00°, β = 116.38°, γ = 90.00°
Closest atoms and distances in Å follow each position.
Space group C2/c (No. 15)
Inequivalent atoms, fractional coordinates:
H1 0.0000 0.2319 0.2500 x4  2 Cl 1.57
Au1 0.2427 0.1417 0.3054 x8  3 Cl 2.29-2.46
Cl1 0.0964 0.0423 0.0699 x8  1 Au 2.35, 1 Cl 2.55
Cl2 0.1201 0.2224 0.4347 x8  1 H 1.57
Cl3 0.1278 0.4170 0.7957 x8  1 Au 2.29

- V: 32.20 A^3/atom
- Total magnetic moment: 0.0 μB/f.u.
- Calculated total energy: -2.48 eV/atom



DFT (PBE-GGA) results for an optimized crystal structure of TbNdEuY.

a = 8.2187 Å, b = 8.2187 Å, c = 8.2187 Å
α = 90.00°, β = 90.00°, γ = 90.00°
Closest atoms and distances in Å follow each position.
Space group F-43m (No. 216)
Inequivalent atoms, fractional coordinates:
Tb1 0.0000 0.0000 0.0000 x4  4 Nd 3.56, 4 Eu 3.56
Nd1 0.2500 0.2500 0.7500 x4  4 Tb 3.56, 4 Y 3.56
Eu1 0.2500 0.2500 0.2500 x4  4 Tb 3.56, 4 Y 3.56
Y1 0.0000 0.0000 0.5000 x4  4 Nd 3.56, 4 Eu 3.56

- V: 34.70 A^3/atom
- Total magnetic moment: 7.3 μB/f.u.
- Calculated total energy: -6.39 eV/atom



DFT (PBE-GGA) results for an optimized crystal structure of GeBiSe2.

a = 4.0379 Å, b = 4.0379 Å, c = 26.5739 Å
α = 90.00°, β = 90.00°, γ = 120.00°
Closest atoms and distances in Å follow each position.
Space group R-3m (No. 166, hexagonal axes)
Inequivalent atoms, fractional coordinates:
Ge1 0.0000 0.0000 0.0000 x3  2 Se 2.64
Bi1 0.0000 0.0000 0.5000 x3  6 Se 2.94
Se1 0.0000 0.0000 0.0995 x6  1 Ge 2.64, 3 Bi 2.94

- V: 31.27 A^3/atom
- Formation energy without anion corrections: 0.069 eV per atom
- Total magnetic moment: 0.0 μB/f.u.